! LiTlCoW | the Open Quantum Materials Database | GGA-PBE | relaxed; values from VASP
! Magnetic moment in μB/f.u.: 1.83
! Polymorph energy (0 for the lowest one) in eV/f.u.: 1.850
! Total DFT energy (no corrections) in eV/atom: -5.098
&SYSTEM
  ibrav = 0, nat = 4, ntyp = 4
/
ATOMIC_SPECIES
Tl 204.38 Tl.upf
Co 58.93 Co.upf
W 183.84 W.upf
Li 6.94 Li.upf
CELL_PARAMETERS angstrom
0.000 3.142 3.142
3.142 0.000 3.142
3.142 3.142 0.000
ATOMIC_POSITIONS crystal
Tl 0.000 0.000 0.000
Co 0.750 0.750 0.750
W 0.250 0.250 0.250
Li 0.500 0.500 0.500


! LiTmCo | the Open Quantum Materials Database | GGA-PBE | relaxed; values from VASP
! Magnetic moment in μB/f.u.: 0.00
! Polymorph energy (0 for the lowest one) in eV/f.u.: 0.000
! Total DFT energy (no corrections) in eV/atom: -4.036
&SYSTEM
  ibrav = 0, nat = 3, ntyp = 3
/
ATOMIC_SPECIES
Tm 168.93 Tm.upf
Li 6.94 Li.upf
Co 58.93 Co.upf
CELL_PARAMETERS angstrom
3.570 -2.141 0.312
-0.055 -4.173 -0.082
1.505 -2.042 -3.315
ATOMIC_POSITIONS crystal
Tm 0.500 0.500 0.500
Li 0.750 0.750 0.750
Co 0.000 0.000 0.000


! LiTmCo | the Open Quantum Materials Database | GGA-PBE | relaxed; values from VASP
! Magnetic moment in μB/f.u.: 0.21
! Polymorph energy (0 for the lowest one) in eV/f.u.: 0.733
! Total DFT energy (no corrections) in eV/atom: -3.791
&SYSTEM
  ibrav = 0, nat = 3, ntyp = 3
/
ATOMIC_SPECIES
Li 6.94 Li.upf
Tm 168.93 Tm.upf
Co 58.93 Co.upf
CELL_PARAMETERS angstrom
0.000 3.096 3.096
3.096 0.000 3.096
3.096 3.096 0.000
ATOMIC_POSITIONS crystal
Li 0.750 0.750 0.750
Tm 0.000 0.000 0.000
Co 0.250 0.250 0.250


! LiZn2Co | the Open Quantum Materials Database | GGA-PBE | relaxed; values from VASP
! Magnetic moment in μB/f.u.: 0.04
! Total DFT energy (no corrections) in eV/atom: -2.874
&SYSTEM
  ibrav = 0, nat = 4, ntyp = 3
/
ATOMIC_SPECIES
Zn 65.41 Zn.upf
Co 58.93 Co.upf
Li 6.94 Li.upf
CELL_PARAMETERS angstrom
0.777 -1.745 3.627
-3.097 -1.119 2.441
-0.819 -3.974 0.580
ATOMIC_POSITIONS crystal
Zn 0.750 0.750 0.750
Co 0.250 0.250 0.250
Zn 0.000 0.000 0.000
Li 0.500 0.500 0.500


! LiZn6Co | the Open Quantum Materials Database | GGA-PBE | relaxed; values from VASP
! Magnetic moment in μB/f.u.: 0.10
! Total DFT energy (no corrections) in eV/atom: -2.167
&SYSTEM
  ibrav = 0, nat = 8, ntyp = 3
/
ATOMIC_SPECIES
Zn 65.41 Zn.upf
Li 6.94 Li.upf
Co 58.93 Co.upf
CELL_PARAMETERS angstrom
-2.760 3.242 0.232
-4.009 -3.354 -0.824
-0.400 -0.677 4.701
ATOMIC_POSITIONS crystal
Zn 0.000 0.242 0.161
Zn 0.000 0.758 0.161
Li 0.500 0.500 0.342
Zn 0.000 0.500 0.659
Co 0.000 0.000 0.655
Zn 0.500 0.000 0.353
Zn 0.500 0.244 0.834
Zn 0.500 0.756 0.834


! LiZrZnCo | the Open Quantum Materials Database | GGA-PBE | relaxed; values from VASP
! Magnetic moment in μB/f.u.: 0.00
! Polymorph energy (0 for the lowest one) in eV/f.u.: 0.000
! Total DFT energy (no corrections) in eV/atom: -4.824
&SYSTEM
  ibrav = 0, nat = 4, ntyp = 4
/
ATOMIC_SPECIES
Zn 65.41 Zn.upf
Co 58.93 Co.upf
Zr 91.22 Zr.upf
Li 6.94 Li.upf
CELL_PARAMETERS angstrom
0.000 3.062 3.062
3.062 0.000 3.062
3.062 3.062 0.000
ATOMIC_POSITIONS crystal
Zn 0.000 0.000 0.000
Co 0.750 0.750 0.750
Zr 0.500 0.500 0.500
Li 0.250 0.250 0.250


! LiZrZnCo | the Open Quantum Materials Database | GGA-PBE | relaxed; values from VASP
! Magnetic moment in μB/f.u.: 1.37
! Polymorph energy (0 for the lowest one) in eV/f.u.: 0.849
! Total DFT energy (no corrections) in eV/atom: -4.611
&SYSTEM
  ibrav = 0, nat = 4, ntyp = 4
/
ATOMIC_SPECIES
Zn 65.41 Zn.upf
Zr 91.22 Zr.upf
Li 6.94 Li.upf
Co 58.93 Co.upf
CELL_PARAMETERS angstrom
-0.331 2.684 3.421
-3.463 2.622 0.387
-2.979 -0.764 3.091
ATOMIC_POSITIONS crystal
Zn 0.000 0.000 0.000
Zr 0.250 0.250 0.250
Li 0.500 0.500 0.500
Co 0.750 0.750 0.750


! LuCo3 | the Open Quantum Materials Database | GGA-PBE | relaxed; values from VASP
! Magnetic moment in μB/f.u.: 0.11
! Formation enthalpy at 0 K in eV per atom: 0.18
! Total DFT energy (no corrections) in eV/atom: -6.280
&SYSTEM
  ibrav = 0, nat = 4, ntyp = 2
/
ATOMIC_SPECIES
Co 58.93 Co.upf
Lu 174.97 Lu.upf
CELL_PARAMETERS angstrom
4.296 -0.943 -1.675
2.986 3.509 0.960
-3.000 -2.460 2.665
ATOMIC_POSITIONS crystal
Co 0.500 0.500 0.000
Lu 0.000 0.000 0.000
Co 0.250 0.750 0.500
Co 0.750 0.250 0.500


Number 2 is which compound?
LiTmCo